Below is a relaxed Ba3SrCa5 crystal, with properties calculated at the PBE-GGA level.

Cell lengths 11.5147, 11.5147, 7.8125 Å; angles 90.00, 90.00, 120.00 degrees
Space group P6_3/mcm (No. 193)
Asymmetric unit:
Ba 0.0000 0.3318 0.2500 (multiplicity 6)
Sr 0.0000 0.0000 0.0000 (multiplicity 2)
Ca 0.0000 0.3407 0.7500 (multiplicity 6)
Ca 0.3333 0.6667 0.0000 (multiplicity 4)

Results
Energy of formation from the pure elements ... 0.66 eV/f.u.
E ... -1.87 eV per atom
Magnetic moment ... 0.00 μB/atom